Rb4Ac3MoO8 | PBE with a Hubbard U | optimized geometry

abc: 7.5035 7.5035 19.8330
angles: 90.00 90.00 120.00
Space group R-3m (No. 166, hexagonal axes)
Symmetry-distinct sites (fractional):
Rb1 0.0000 0.0000 0.0000 (multiplicity 3)
Rb2 0.0000 0.5000 0.0000 (multiplicity 9)
Ac1 0.0000 0.5000 0.5000 (multiplicity 9)
Mo1 0.0000 0.0000 0.5000 (multiplicity 3)
O1 0.0000 0.0000 0.2298 (multiplicity 6)
O2 0.0252 0.5126 0.2265 (multiplicity 18)

## Properties
Energy = -6.149 eV/atom